1.
First-principles (PBE) data for an optimized crystal structure of Ac2AgPb3, as listed in Alexandria via LeMat-Bulk.

Output
energy of formation	-0.34	eV per atom
energy relative to the lowest polymorph listed for this composition	0.042	eV/atom

a = 4.368 Å, b = 5.160 Å, c = 8.784 Å
α = 90.00°, β = 90.00°, γ = 90.00°
Atoms (fractional coordinates):
1 Ag 0.500 0.500 0.324
2 Ac 0.000 0.000 0.505
3 Ac 0.000 0.500 0.998
4 Pb 0.500 0.000 0.186
5 Pb 0.500 0.500 0.650
6 Pb 0.500 0.000 0.838


2.
First-principles (PBE) data for an optimized crystal structure of NaAlCl2, as listed in Alexandria via LeMat-Bulk.

Output
raw formation energy	-0.949	eV per atom
energy relative to the lowest polymorph listed for this composition	0.013	eV/atom

a = 6.619 Å, b = 6.619 Å, c = 7.845 Å
α = 65.05°, β = 65.05°, γ = 90.00°
Atoms (fractional coordinates):
1 Cl 0.600 0.125 0.250
2 Cl 0.375 0.400 0.750
3 Cl 0.875 0.850 0.750
4 Cl 0.150 0.625 0.250
5 Na 0.250 0.750 0.500
6 Na 0.500 0.500 0.000
7 Al 0.000 0.000 0.000
8 Al 0.750 0.250 0.500


3.
First-principles (PBE) data for an optimized crystal structure of Cu4Ni4Pd, as listed in Alexandria via LeMat-Bulk.

Output
energy of formation	0.02	eV per atom

a = 3.609 Å, b = 5.728 Å, c = 5.728 Å
α = 84.31°, β = 71.64°, γ = 71.64°
Atoms (fractional coordinates):
1 Pd 0.000 0.000 0.000
2 Cu 0.671 0.000 0.657
3 Cu 0.329 0.000 0.343
4 Cu 0.671 0.657 0.000
5 Cu 0.329 0.343 0.000
6 Ni 0.000 0.657 0.343
7 Ni 0.343 0.657 0.657
8 Ni 0.657 0.343 0.343
9 Ni 0.000 0.343 0.657


| no. | VASP energy (eV per atom) |
| --- | --- |
| 1 | -4.041 |
| 2 | -3.137 |
| 3 | -4.951 |